1.
A plane-wave DFT calculation with PBE was carried out for Mg2GaAg2 after structural relaxation. Values from VASP.

Computed properties:
formation energy: -0.140 eV/atom

Structure (Quantum ESPRESSO input):
```
&SYSTEM
  ibrav = 0, nat = 10, ntyp = 3
/
ATOMIC_SPECIES
Mg 24.30 Mg.upf
Ga 69.72 Ga.upf
Ag 107.87 Ag.upf
ATOMIC_POSITIONS crystal
Mg 0.0123 0.9877 0.5000
Mg 0.2151 0.7849 0.4625
Mg 0.7849 0.2151 0.9625
Mg 0.9877 0.0123 0.0000
Ga 0.4003 0.5997 0.2328
Ga 0.5997 0.4003 0.7328
Ag 0.1699 0.8301 0.9499
Ag 0.3915 0.6085 0.7506
Ag 0.6085 0.3915 0.2506
Ag 0.8301 0.1699 0.4499
CELL_PARAMETERS angstrom
2.1738 -7.4436 0.0000
2.1738 7.4436 0.0000
0.0000 0.0000 5.7823
```

***

2.
A plane-wave DFT calculation with PBE was carried out for CaZnBr2 after structural relaxation. Values from VASP.

Computed properties:
E_form (uncorrected): -1.040 eV/atom

Structure (Quantum ESPRESSO input):
```
&SYSTEM
  ibrav = 0, nat = 4, ntyp = 3
/
ATOMIC_SPECIES
Ca 40.08 Ca.upf
Zn 65.41 Zn.upf
Br 79.90 Br.upf
ATOMIC_POSITIONS crystal
Ca 0.0000 0.0000 0.0000
Zn 0.5000 0.5000 0.5000
Br 0.2500 0.2500 0.2500
Br 0.7500 0.7500 0.7500
CELL_PARAMETERS angstrom
0.0000 3.7630 3.7630
3.7630 0.0000 3.7630
3.7630 3.7630 0.0000
```

***

Listing D(E_F) for the structures above in their given order: 2.3 0.0 states/eV per cell.
Listing excess energy over the best structure of this formula in the dataset for the structures above in their given order: 20.8 236.3 meV per atom.